The following is a PBE calculation of a geometry-optimized Ti8NbMo2 structure, from the Alexandria database.

abc: 4.5561 6.9212 7.3435
angles: 120.79 108.07 90.00
Sites, in units of the cell vectors:
Ti  0.6027  0.7438  0.2054
Ti  0.3133  0.5707  0.6266
Ti  0.1482  0.0922  0.2964
Ti  0.0500  0.3651  0.1000
Ti  0.8518  0.9078  0.7036
Ti  0.6867  0.4293  0.3734
Ti  0.3973  0.2562  0.7946
Ti  0.9500  0.6349  0.9000
Nb  0.5000  0.0000  0.0000
Mo  0.2187  0.8065  0.4374
Mo  0.7813  0.1935  0.5626

Space-group type = C2/m
Energy above the most stable polymorph in this dataset = 0.0 meV/atom
Formation enthalpy at 0 K = -20.4 meV per atom